(1)
Computed, not measured: crystalline Ca2NdZrAs4 at its relaxed geometry at the PBE-GGA level of DFT.

Cell: 4.1107 7.1616 7.2906 Å, 108.83 90.00 90.00°
Positions (direct):
Ca (0.0000, 0.5000, 0.5000)
Ca (0.5000, 0.0000, 0.5000)
As (0.5000, 0.2276, 0.2296)
As (0.0000, 0.2360, 0.7616)
As (0.0000, 0.7640, 0.2384)
As (0.5000, 0.7724, 0.7704)
Nd (0.5000, 0.5000, 0.0000)
Zr (0.0000, 0.0000, 0.0000)

Values from the calculation:
* formation energy from the elements: -1.17 eV/atom


(2)
Computed, not measured: crystalline Li2CeZn2Sn2 at its relaxed geometry at the PBE-GGA level of DFT.

Cell: 4.4945 4.4945 8.6896 Å, 75.01 75.01 60.00°
Each line ends with the local moment (μB).
Positions (direct):
Li (0.1423, 0.1423, 0.5730)  0.00
Li (0.8577, 0.8577, 0.4270)  0.00
Sn (0.2581, 0.2581, 0.2257)  -0.01
Sn (0.7419, 0.7419, 0.7743)  -0.01
Zn (0.5539, 0.5539, 0.3384)  0.00
Zn (0.4461, 0.4461, 0.6616)  0.00
Ce (0.0000, 0.0000, 0.0000)  0.65

Values from the calculation:
* formation energy from the elements: -0.41 eV/atom


(3)
Computed, not measured: crystalline Na3ErMn2Se6 at its relaxed geometry at the PBE-GGA level of DFT.

Cell: 6.7461 6.7461 7.3740 Å, 98.83 98.83 120.07°
Each line ends with the local moment (μB).
Positions (direct):
Se (0.9281, 0.5714, 0.7879)  -0.03
Se (0.7147, 0.7147, 0.2126)  -0.03
Se (0.5714, 0.9281, 0.7879)  -0.03
Se (0.2853, 0.2853, 0.7874)  -0.03
Se (0.0719, 0.4286, 0.2121)  -0.03
Se (0.4286, 0.0719, 0.2121)  -0.03
Na (0.5000, 0.5000, 0.5000)  0.01
Na (0.8380, 0.1620, 0.5000)  0.01
Na (0.1620, 0.8380, 0.5000)  0.01
Mn (0.3329, 0.6671, 0.0000)  3.80
Mn (0.6671, 0.3329, 0.0000)  3.80
Er (0.0000, 0.0000, 0.0000)  0.05

Values from the calculation:
* energy relative to the elements, uncorrected: -1012.8 meV per atom


Computed V (Å³ per cell) in order:
203.1, 145.1, 276.4